Entry 1:
Below is an optimized crystal structure of CuAg2H6Ir, with properties calculated at the PBE level.

Computed properties:
Raw total energy (eV per atom): -3.799
Magnetic moment (μB per formula unit): 0.0
Density of states at the Fermi level (states/eV/atom): 0.008

Cell: 5.079 5.218 5.218 Å, 120.00 90.00 90.00°
Positions (direct):
Cu: 0.500 0.000 0.000
Ir: 0.000 0.000 0.000
H: 0.772 0.141 0.282
H: 0.772 0.718 0.859
H: 0.228 0.859 0.718
H: 0.772 0.141 0.859
H: 0.228 0.282 0.141
H: 0.228 0.859 0.141
Ag: 0.036 0.667 0.333
Ag: 0.964 0.333 0.667

=====

Entry 2:
Below is an optimized crystal structure of RbTeP, with properties calculated at the PBE level.

Computed properties:
Raw total energy (eV per atom): -3.639
Magnetic moment (μB per formula unit): 0.0

Cell: 6.918 6.231 7.559 Å, 83.31 62.77 56.28°
Positions (direct):
P: 0.871 0.199 0.060
P: 0.129 0.801 0.940
Rb: 0.572 0.134 0.722
Rb: 0.428 0.866 0.278
Te: 0.080 0.594 0.246
Te: 0.920 0.406 0.754

=====

Entry 3:
Below is an optimized crystal structure of YZn2Cu6, with properties calculated at the PBE level.

Computed properties:
Energy relative to the elements (eV per atom): 0.3687
Magnetic moment (μB per formula unit): 0.0
Density of states at the Fermi level (states/eV/atom): 0.464

Cell: 7.721 7.721 7.721 Å, 60.00 60.00 60.00°
Positions (direct):
Zn: 0.125 0.125 0.625
Zn: 0.125 0.625 0.125
Zn: 0.125 0.125 0.125
Zn: 0.625 0.125 0.125
Y: 0.500 0.500 0.500
Y: 0.750 0.750 0.750
Cu: 0.000 0.500 0.500
Cu: 0.000 0.000 0.500
Cu: 0.250 0.250 0.750
Cu: 0.500 0.000 0.500
Cu: 0.250 0.750 0.750
Cu: 0.000 0.500 0.000
Cu: 0.750 0.250 0.250
Cu: 0.500 0.500 0.000
Cu: 0.250 0.750 0.250
Cu: 0.500 0.000 0.000
Cu: 0.750 0.750 0.250
Cu: 0.750 0.250 0.750

=====

Entry 4:
Below is an optimized crystal structure of Dy3TmH8, with properties calculated at the PBE level.

Computed properties:
Raw total energy (eV per atom): -4.477
Magnetic moment (μB per formula unit): 0.0
Density of states at the Fermi level (states/eV/atom): 0.200

Cell: 5.150 5.150 5.150 Å, 90.00 90.00 90.00°
Positions (direct):
Tm: 0.000 0.000 0.000
H: 0.753 0.247 0.753
H: 0.247 0.753 0.247
H: 0.753 0.753 0.753
H: 0.247 0.753 0.753
H: 0.753 0.247 0.247
H: 0.247 0.247 0.247
H: 0.753 0.753 0.247
H: 0.247 0.247 0.753
Dy: 0.500 0.500 0.000
Dy: 0.000 0.500 0.500
Dy: 0.500 0.000 0.500

=====

Entry 5:
Below is an optimized crystal structure of ZrTa2Sn, with properties calculated at the PBE level.

Computed properties:
Energy relative to the elements (eV per atom): 0.6640
Magnetic moment (μB per formula unit): 0.0
Density of states at the Fermi level (states/eV/atom): 0.725

Cell: 7.887 7.887 6.259 Å, 50.95 50.95 90.00°
Positions (direct):
Ta: 0.644 0.125 0.250
Ta: 0.875 0.894 0.750
Ta: 0.375 0.356 0.750
Ta: 0.106 0.625 0.250
Zr: 0.250 0.750 0.500
Zr: 0.500 0.500 0.000
Sn: 0.000 0.000 0.000
Sn: 0.750 0.250 0.500

=====

Entry 6:
Below is an optimized crystal structure of Nd4Sm5Dy, with properties calculated at the PBE level.

Computed properties:
Energy relative to the elements (eV per atom): 0.0136
Magnetic moment (μB per formula unit): 0.0
Density of states at the Fermi level (states/eV/atom): 1.382

Cell: 3.641 10.302 9.620 Å, 105.65 100.88 89.93°
Positions (direct):
Nd: 0.700 0.100 0.399
Nd: 0.099 0.299 0.198
Nd: 0.901 0.701 0.802
Nd: 0.300 0.900 0.601
Sm: 0.901 0.200 0.802
Sm: 0.700 0.600 0.400
Sm: 0.099 0.800 0.198
Sm: 0.300 0.400 0.600
Sm: 0.500 0.500 0.000
Dy: 0.500 0.000 0.000

=====

Entry 7:
Below is an optimized crystal structure of Pr2Nd2Ir3, with properties calculated at the PBE level.

Computed properties:
Energy relative to the elements (eV per atom): -0.4879
Magnetic moment (μB per formula unit): 0.0
Density of states at the Fermi level (states/eV/atom): 0.570

Cell: 4.231 7.164 7.285 Å, 101.46 90.03 107.15°
Positions (direct):
Pr: 0.375 0.750 0.106
Pr: 0.625 0.250 0.894
Ir: 0.234 0.469 0.743
Ir: 0.766 0.531 0.257
Ir: 0.000 0.000 0.000
Nd: 0.144 0.286 0.353
Nd: 0.856 0.714 0.647

=====

Entry 8:
Below is an optimized crystal structure of UTl2AgS4, with properties calculated at the PBE level.

Computed properties:
Raw total energy (eV per atom): -5.133
Magnetic moment (μB per formula unit): 1.0
Density of states at the Fermi level (states/eV/atom): 0.590

Cell: 4.052 7.876 6.551 Å, 73.31 90.00 90.00°
Site moments in Bohr magnetons follow the coordinates.
Positions (direct):
S: 0.000 0.702 0.742  -0.05
S: 0.500 0.303 0.720  -0.04
S: 0.000 0.298 0.258  -0.05
S: 0.500 0.697 0.280  -0.04
Ag: 0.500 0.500 0.000  -0.02
U: 0.000 0.500 0.500  1.21
Tl: 0.500 0.000 0.500  -0.01
Tl: 0.000 0.000 0.000  0.00

=====

Entry 9:
Below is an optimized crystal structure of Ta4Mo3, with properties calculated at the PBE level.

Computed properties:
Energy relative to the elements (eV per atom): -0.1348
Magnetic moment (μB per formula unit): 0.0
Density of states at the Fermi level (states/eV/atom): 1.076

Cell: 11.716 11.716 11.716 Å, 164.17 164.17 22.45°
Positions (direct):
Mo: 0.430 0.430 0.000
Mo: 0.996 0.996 0.000
Mo: 0.288 0.288 0.000
Ta: 0.718 0.718 0.000
Ta: 0.568 0.568 0.000
Ta: 0.142 0.142 0.000
Ta: 0.858 0.858 0.000

=====

Entry 10:
Below is an optimized crystal structure of Sm7Si2Sb2, with properties calculated at the PBE level.

Computed properties:
Raw total energy (eV per atom): -5.049
Magnetic moment (μB per formula unit): 0.0
Density of states at the Fermi level (states/eV/atom): 1.172

Cell: 7.061 7.174 7.061 Å, 90.00 101.90 90.00°
Positions (direct):
Sm: 0.500 0.286 0.000
Sm: 0.000 0.286 0.500
Sm: 0.000 0.714 0.500
Sm: 0.500 0.268 0.500
Sm: 0.000 0.000 0.000
Sm: 0.500 0.732 0.500
Sm: 0.500 0.714 0.000
Sb: 0.278 0.000 0.722
Sb: 0.722 0.000 0.278
Si: 0.790 0.500 0.790
Si: 0.210 0.500 0.210

=====

Entry 11:
Below is an optimized crystal structure of KSr2Au, with properties calculated at the PBE level.

Computed properties:
Energy relative to the elements (eV per atom): -0.2901
Magnetic moment (μB per formula unit): 0.0
Density of states at the Fermi level (states/eV/atom): 1.003

Cell: 11.176 11.176 4.354 Å, 78.78 78.78 21.31°
Positions (direct):
Au: 0.457 0.457 0.543
Sr: 0.009 0.009 0.991
Sr: 0.848 0.848 0.652
K: 0.185 0.185 0.315

=====

Entry 12:
Below is an optimized crystal structure of DyHo5Te4, with properties calculated at the PBE level.

Computed properties:
Raw total energy (eV per atom): -4.894
Magnetic moment (μB per formula unit): 0.0
Density of states at the Fermi level (states/eV/atom): 0.840

Cell: 4.124 8.497 9.321 Å, 102.26 102.78 90.00°
Positions (direct):
Te: 0.669 0.064 0.337
Te: 0.987 0.743 0.975
Te: 0.013 0.257 0.025
Te: 0.331 0.936 0.663
Ho: 0.837 0.217 0.674
Ho: 0.500 0.500 0.000
Ho: 0.189 0.360 0.379
Ho: 0.163 0.783 0.326
Ho: 0.811 0.640 0.621
Dy: 0.500 0.000 0.000

=====

Please write out number 9 again, unchanged.
Below is an optimized crystal structure of Ta4Mo3, with properties calculated at the PBE level.

Computed properties:
Energy relative to the elements (eV per atom): -0.1348
Magnetic moment (μB per formula unit): 0.0
Density of states at the Fermi level (states/eV/atom): 1.076

Cell: 11.716 11.716 11.716 Å, 164.17 164.17 22.45°
Positions (direct):
Mo: 0.430 0.430 0.000
Mo: 0.996 0.996 0.000
Mo: 0.288 0.288 0.000
Ta: 0.718 0.718 0.000
Ta: 0.568 0.568 0.000
Ta: 0.142 0.142 0.000
Ta: 0.858 0.858 0.000